VASP calculation (PBE) on Ba2IrI2 after structural relaxation.

Lattice parameters (Å, degrees): 8.7438 8.7438 5.2586 90.00 90.00 90.00
Closest atoms and distances in Å follow each position.
Element x y z (fractional)
I1 0.6475 0.8525 0.5000  2 Ba 3.42, 1 I 3.65
I2 0.3525 0.1475 0.5000  2 Ba 3.42, 1 I 3.65
I3 0.8525 0.3525 0.5000  2 Ba 3.42, 1 I 3.65
I4 0.1475 0.6475 0.5000  2 Ba 3.42, 1 I 3.65
Ba1 0.3246 0.8246 0.0000  2 Ir 3.23, 2 I 3.42
Ba2 0.8246 0.6754 0.0000  2 Ir 3.23, 2 I 3.42
Ba3 0.1754 0.3246 0.0000  2 Ir 3.23, 2 I 3.42
Ba4 0.6754 0.1754 0.0000  2 Ir 3.23, 2 I 3.42
Ir1 0.5000 0.5000 0.0000  4 Ba 3.23
Ir2 0.0000 0.0000 0.0000  4 Ba 3.23

- total moment (μB/atom) = 0.2000
- crystal system = tetragonal
- space-group type = P4/mbm
- distance to the lowest polymorph of the same formula (meV/atom) = 0.0
- E_form (uncorrected) (eV/atom) = -0.5649
- total DFT energy (no corrections) (eV per atom) = -3.726